# Zr2NpNiN4

A geometry-optimized Zr2NpNiN4 structure (PBE, Alexandria via LeMat-Bulk).

Calculated total energy in eV/atom: -9.837
Formation energy (no corrections) in eV/atom: -1.197
M_tot in μB per formula unit: 2.59

Unit cell a=3.2267 b=10.8541 c=11.0928 alpha=90.00 beta=90.00 gamma=90.00
With the nearest neighbours (Å) after each atom.
Space group Cmcm (No. 63)
Inequivalent atoms, fractional coordinates:
Zr1 0.0000 0.1315 0.0560 [8 per cell]  6 N 2.19-2.37
Np1 0.0000 0.3891 0.2500 [4 per cell]  6 N 2.30-2.51
Ni1 0.0000 0.3429 0.7500 [4 per cell]  4 N 1.94-2.05
N1 0.0000 0.0399 0.2500 [4 per cell]  2 Ni 2.05, 2 Np 2.30
N2 0.0000 0.2260 0.6180 [8 per cell]  1 Ni 1.94
N3 0.0000 0.5000 0.0000 [4 per cell]  4 Zr 2.24